# Ac3In4Pd2 | the Alexandria database | PBE | optimized geometry
data_Ac3In4Pd2
_chemical_formula_sum 'Ac6 In8 Pd4'
_cell_length_a 11.183
_cell_length_b 4.993
_cell_length_c 9.710
_cell_angle_alpha 90.00
_cell_angle_beta 105.55
_cell_angle_gamma 90.00
_symmetry_space_group_name_H-M 'C 1 2/m 1'
_symmetry_Int_Tables_number 12
loop_
_symmetry_equiv_pos_as_xyz
'x,y,z'
'-x,-y,-z'
'-x,y,-z'
'x,-y,z'
'x+1/2,y+1/2,z'
'-x+1/2,-y+1/2,-z'
'-x+1/2,y+1/2,-z'
'x+1/2,-y+1/2,z'
loop_
_atom_site_label
_atom_site_type_symbol
_atom_site_fract_x
_atom_site_fract_y
_atom_site_fract_z
_atom_site_occupancy
Ac1 Ac 0.000 0.000 0.000 1
Ac2 Ac 0.115 0.500 0.695 1
In1 In 0.119 0.000 0.428 1
In2 In 0.219 0.500 0.074 1
Pd1 Pd 0.164 0.500 0.329 1
# E above lowest polymorph: 61 meV/atom
# V: 29.02 Å³ per atom
# calculated total energy: -4.321 eV per atom
# calculated formation energy: -0.58 eV per atom
# total moment: 0.00 μB/atom

# ErLuBe2 | the Alexandria database | PBE | optimized geometry
data_ErLuBe2
_chemical_formula_sum 'Er1 Lu1 Be2'
_cell_length_a 4.729
_cell_length_b 4.729
_cell_length_c 3.372
_cell_angle_alpha 90.00
_cell_angle_beta 90.00
_cell_angle_gamma 90.00
_symmetry_space_group_name_H-M 'P 4/m m m'
_symmetry_Int_Tables_number 123
_symmetry_space_group_name_Hall '-P 4 2'
loop_
_atom_site_label
_atom_site_type_symbol
_atom_site_fract_x
_atom_site_fract_y
_atom_site_fract_z
_atom_site_occupancy
Er1 Er 0.000 0.000 0.000 1
Lu1 Lu 0.500 0.500 0.000 1
Be1 Be 0.000 0.500 0.500 1
# E above lowest polymorph: 2 meV/atom
# V: 18.85 Å³ per atom
# calculated total energy: -4.071 eV per atom
# calculated formation energy: 0.06 eV per atom
# total moment: 0.00 μB/atom